# LaZnCo | Alexandria | PBE | optimized geometry
# DFT formation energy = -30.3 meV/atom
# Crystal system = cubic
# M_tot = 0.000 μB per formula unit
# Theoretical density = 6.7 g cm⁻³
data_LaZnCo
_symmetry_space_group_name_H-M 'P 1'
_symmetry_Int_Tables_number 1
_symmetry_space_group_name_Hall 'P 1'
_cell_length_a 4.523
_cell_length_b 4.523
_cell_length_c 4.523
_cell_angle_alpha 60.00
_cell_angle_beta 60.00
_cell_angle_gamma 60.00
loop_
_atom_site_label
_atom_site_fract_x
_atom_site_fract_y
_atom_site_fract_z
La1 0.000 0.000 0.000
Zn1 0.500 0.500 0.500
Co1 0.750 0.750 0.750